Here is an optimized crystal structure of TlMoP4 from Alexandria via LeMat-Bulk. Energies are from PBE.

```
data_TlMoP4
_cell_length_a 7.389
_cell_length_b 7.389
_cell_length_c 7.389
_cell_angle_alpha 90.00
_cell_angle_beta 90.00
_cell_angle_gamma 90.00
_symmetry_space_group_name_H-M 'F -4 3 m'
_symmetry_Int_Tables_number 216
_symmetry_space_group_name_Hall 'F -4 2 3'
loop_
_atom_site_label
_atom_site_type_symbol
_atom_site_fract_x
_atom_site_fract_y
_atom_site_fract_z
_atom_site_occupancy
Tl1 Tl 0.000 0.000 0.000 1
Mo1 Mo 0.250 0.250 0.750 1
P1 P 0.118 0.118 0.382 1
```

The calculation puts the formation energy at 837 meV per atom.



Here is an optimized crystal structure of Tl2MoP from Alexandria via LeMat-Bulk. Energies are from PBE.

```
data_Tl2MoP
_cell_length_a 4.536
_cell_length_b 4.536
_cell_length_c 4.140
_cell_angle_alpha 90.00
_cell_angle_beta 90.00
_cell_angle_gamma 90.00
_symmetry_space_group_name_H-M 'P 4/m m m'
_symmetry_Int_Tables_number 123
_symmetry_space_group_name_Hall '-P 4 2'
loop_
_atom_site_label
_atom_site_type_symbol
_atom_site_fract_x
_atom_site_fract_y
_atom_site_fract_z
_atom_site_occupancy
Tl1 Tl 0.000 0.500 0.000 1
Mo1 Mo 0.000 0.000 0.500 1
P1 P 0.500 0.500 0.500 1
```

The calculation puts the formation energy at 874 meV per atom. The excess energy over the best structure of this formula in the dataset comes out at 3.20 eV per formula unit.



Here is an optimized crystal structure of Tl2MoP from Alexandria via LeMat-Bulk. Energies are from PBE.

```
data_Tl2MoP
_cell_length_a 6.344
_cell_length_b 8.528
_cell_length_c 3.003
_cell_angle_alpha 90.00
_cell_angle_beta 90.00
_cell_angle_gamma 90.00
_symmetry_space_group_name_H-M 'C m m m'
_symmetry_Int_Tables_number 65
_symmetry_space_group_name_Hall '-C 2 2'
loop_
_atom_site_label
_atom_site_type_symbol
_atom_site_fract_x
_atom_site_fract_y
_atom_site_fract_z
_atom_site_occupancy
Tl1 Tl 0.250 0.250 0.000 1
Mo1 Mo 0.000 0.000 0.500 1
P1 P 0.000 0.500 0.500 1
```

The calculation puts the formation energy at 820 meV per atom. The excess energy over the best structure of this formula in the dataset comes out at 2.98 eV per formula unit.



Here is an optimized crystal structure of TlMo2P from Alexandria via LeMat-Bulk. Energies are from PBE.

```
data_TlMo2P
_cell_length_a 4.507
_cell_length_b 4.507
_cell_length_c 3.238
_cell_angle_alpha 90.00
_cell_angle_beta 90.00
_cell_angle_gamma 90.00
_symmetry_space_group_name_H-M 'P 4/m m m'
_symmetry_Int_Tables_number 123
_symmetry_space_group_name_Hall '-P 4 2'
loop_
_atom_site_label
_atom_site_type_symbol
_atom_site_fract_x
_atom_site_fract_y
_atom_site_fract_z
_atom_site_occupancy
Tl1 Tl 0.000 0.000 0.000 1
Mo1 Mo 0.000 0.500 0.500 1
P1 P 0.500 0.500 0.000 1
```

The calculation puts the formation energy at 596 meV per atom. The excess energy over the best structure of this formula in the dataset comes out at 1.99 eV per formula unit.



Here is an optimized crystal structure of TlMo2P from Alexandria via LeMat-Bulk. Energies are from PBE.

```
data_TlMo2P
_cell_length_a 6.400
_cell_length_b 6.400
_cell_length_c 6.400
_cell_angle_alpha 90.00
_cell_angle_beta 90.00
_cell_angle_gamma 90.00
_symmetry_space_group_name_H-M 'F m -3 m'
_symmetry_Int_Tables_number 225
_symmetry_space_group_name_Hall '-F 4 2 3'
loop_
_atom_site_label
_atom_site_type_symbol
_atom_site_fract_x
_atom_site_fract_y
_atom_site_fract_z
_atom_site_occupancy
Tl1 Tl 0.000 0.000 0.000 1
Mo1 Mo 0.250 0.250 0.250 1
P1 P 0.000 0.000 0.500 1
```

The calculation puts the formation energy at 591 meV per atom. The excess energy over the best structure of this formula in the dataset comes out at 1.97 eV per formula unit.



Here is an optimized crystal structure of Tl2MoP from Alexandria via LeMat-Bulk. Energies are from PBE.

```
data_Tl2MoP
_cell_length_a 7.009
_cell_length_b 7.009
_cell_length_c 7.009
_cell_angle_alpha 90.00
_cell_angle_beta 90.00
_cell_angle_gamma 90.00
_symmetry_space_group_name_H-M 'F -4 3 m'
_symmetry_Int_Tables_number 216
_symmetry_space_group_name_Hall 'F -4 2 3'
loop_
_atom_site_label
_atom_site_type_symbol
_atom_site_fract_x
_atom_site_fract_y
_atom_site_fract_z
_atom_site_occupancy
Tl1 Tl 0.000 0.000 0.000 1
Tl2 Tl 0.250 0.250 0.250 1
Mo1 Mo 0.250 0.250 0.750 1
P1 P 0.000 0.000 0.500 1
```

The calculation puts the formation energy at 906 meV per atom. The excess energy over the best structure of this formula in the dataset comes out at 3.33 eV per formula unit.



Here is an optimized crystal structure of Tl2MoP from Alexandria via LeMat-Bulk. Energies are from PBE.

```
data_Tl2MoP
_cell_length_a 7.979
_cell_length_b 7.979
_cell_length_c 5.771
_cell_angle_alpha 90.00
_cell_angle_beta 90.00
_cell_angle_gamma 90.00
_symmetry_space_group_name_H-M 'I -4 2 d'
_symmetry_Int_Tables_number 122
_symmetry_space_group_name_Hall 'I -4 2bw'
loop_
_atom_site_label
_atom_site_type_symbol
_atom_site_fract_x
_atom_site_fract_y
_atom_site_fract_z
_atom_site_occupancy
Tl1 Tl 0.228 0.250 0.125 1
Mo1 Mo 0.000 0.000 0.500 1
P1 P 0.000 0.000 0.000 1
```

The calculation puts the formation energy at 918 meV per atom. The excess energy over the best structure of this formula in the dataset comes out at 3.38 eV per formula unit.



Here is an optimized crystal structure of TlMo2P from Alexandria via LeMat-Bulk. Energies are from PBE.

```
data_TlMo2P
_cell_length_a 3.220
_cell_length_b 3.220
_cell_length_c 6.762
_cell_angle_alpha 90.00
_cell_angle_beta 90.00
_cell_angle_gamma 90.00
_symmetry_space_group_name_H-M 'P 4 m m'
_symmetry_Int_Tables_number 99
_symmetry_space_group_name_Hall 'P 4 -2'
loop_
_atom_site_label
_atom_site_type_symbol
_atom_site_fract_x
_atom_site_fract_y
_atom_site_fract_z
_atom_site_occupancy
Tl1 Tl 0.000 0.000 0.000 1
Mo1 Mo 0.000 0.000 0.531 1
Mo2 Mo 0.500 0.500 0.290 1
P1 P 0.500 0.500 0.675 1
```

The calculation puts the formation energy at 98 meV per atom. The excess energy over the best structure of this formula in the dataset comes out at 0.00 eV per formula unit.